A plane-wave DFT calculation with PBE with a Hubbard U was carried out for a relaxed MnSF2 crystal.

Computed properties:
The calculation puts the magnetization at 3.0 Bohr magnetons per cell. The total energy comes out at -18.57 eV for the cell shown. The excess energy over the best structure of this formula in the dataset comes out at 0.610 eV/atom. As for the space group: Fm-3m. For the calculated volume, the calculation gives 13.46 A^3/atom. The calculation puts the density of states at the Fermi level at 1.2 states/eV/f.u.

Cell lengths 4.238, 4.238, 4.238 Å; angles 60.00, 60.00, 60.00 degrees
Atoms (fractional coordinates):
Mn 0.000 0.000 0.000
S 0.500 0.500 0.500
F 0.250 0.250 0.250
F 0.750 0.750 0.750